--- w ---
A relaxed PmPuAu2 crystal, computed with PBE.

abc: 4.1862 4.1862 7.7371
angles: 74.30 74.30 60.00
Element x y z (fractional)
Au (0.7500, 0.7500, 0.7499)
Au (0.2500, 0.2500, 0.2501)
Pu (0.5000, 0.5000, 0.5000)
Pm (0.0000, 0.0000, 0.0000)

Space-group type: No. 166
M_tot: 5.997 μB/cell
D(E_F): 16.00 states/eV/cell


--- x ---
A relaxed PmPuAu2 crystal, computed with PBE.

abc: 5.1912 5.1912 5.1912
angles: 60.00 60.00 60.00
Element x y z (fractional)
Pu (0.0000, 0.0000, 0.0000)
Au (0.7500, 0.7500, 0.7500)
Au (0.2500, 0.2500, 0.2500)
Pm (0.5000, 0.5000, 0.5000)

Space-group type: No. 225
M_tot: 5.813 μB/cell
D(E_F): 11.07 states/eV/cell


Which of them is least stable? Easy: w.


--- w ---
A relaxed Pm2PuAu crystal, computed with PBE.

abc: 3.6448 3.6448 8.4301
angles: 90.00 90.00 90.00
Element x y z (fractional)
Pu (0.5000, 0.5000, 0.5000)
Pm (0.0000, 0.0000, 0.7819)
Pm (0.0000, 0.0000, 0.2181)
Au (0.5000, 0.5000, 0.0000)

Space-group type: No. 123
M_tot: 6.423 μB/cell
D(E_F): 8.75 states/eV/cell


--- x ---
A relaxed Pm2PuAu crystal, computed with PBE.

abc: 5.3401 5.3401 5.3402
angles: 60.00 60.00 60.00
Element x y z (fractional)
Au (0.5000, 0.5000, 0.5000)
Pm (0.2499, 0.2499, 0.2502)
Pm (0.7501, 0.7501, 0.7498)
Pu (0.0000, 0.0000, 0.0000)

Space-group type: No. 225
M_tot: 6.939 μB/cell
D(E_F): 15.42 states/eV/cell


Which of them is least stable? Easy: x.